# 1
Density functional theory data (GGA-PBE) for a relaxed Mo4P crystal.

The space group is R-3m (No. 166, hexagonal axes) and the conventional cell measures 4.3355, 4.3355 and 13.6572 Å, with angles of 90.00, 90.00 and 120.00 degrees. The inequivalent atoms are Mo at (0.0000, 0.0000, 0.1002), Mo at (0.0000, 0.0000, 0.3024) and P at (0.0000, 0.0000, 0.5000).

For the uncorrected energy, the calculation gives -9.817 eV per atom.

# 2
Density functional theory data (GGA-PBE) for a relaxed MoPPd crystal.

The space group is Cmc2_1 (No. 36) and the conventional cell measures 2.6781, 14.4719 and 4.8372 Å, with angles of 90.00, 90.00 and 90.00 degrees. The inequivalent atoms are Mo at (0.0000, 0.2207, 0.0000), P at (0.0000, 0.0589, 0.0030) and Pd at (0.0000, 0.1071, 0.5017).

For the uncorrected energy, the calculation gives -7.153 eV per atom.